(1)
# Cu12H5Au3 (PBE-GGA, optimized geometry)
# Total magnetization   0.0 μB per formula unit
# Total energy   -0.2652 Ry per atom
# Calculated density   9.76 Mg/m³
data_Cu12H5Au3
_chemical_formula_sum 'Cu96 H40 Au24'
_space_group_name_H-M_alt 'I a -3 d'
_space_group_IT_number 230
_space_group_name_Hall '-I 4bd 2c 3'
_cell_length_a 12.2752
_cell_length_b 12.2752
_cell_length_c 12.2752
_cell_angle_alpha 90.00
_cell_angle_beta 90.00
_cell_angle_gamma 90.00
loop_
_atom_site_label
_atom_site_type_symbol
_atom_site_fract_x
_atom_site_fract_y
_atom_site_fract_z
Cu1 Cu 0.0462 0.1396 0.9461
H1 H 0.0000 0.0000 0.0000
H2 H 0.0000 0.2500 0.3750
Au1 Au 0.0000 0.2500 0.1250

=====

(2)
# Cu3HAu (PBE-GGA, optimized geometry)
# Total magnetization   0.0 μB per formula unit
# Polymorph energy (0 for the lowest one)   0.000 eV per atom
# Total energy   -0.2749 Ry per atom
# Calculated density   11.42 Mg/m³
data_Cu3HAu
_chemical_formula_sum 'Cu3 H1 Au1'
_space_group_name_H-M_alt 'P m -3 m'
_space_group_IT_number 221
_space_group_name_Hall '-P 4 2 3'
_cell_length_a 3.8373
_cell_length_b 3.8373
_cell_length_c 3.8373
_cell_angle_alpha 90.00
_cell_angle_beta 90.00
_cell_angle_gamma 90.00
loop_
_atom_site_label
_atom_site_type_symbol
_atom_site_fract_x
_atom_site_fract_y
_atom_site_fract_z
Cu1 Cu 0.0000 0.0000 0.5000
H1 H 0.0000 0.0000 0.0000
Au1 Au 0.5000 0.5000 0.5000

=====

(3)
# Cu2H2Au (PBE-GGA, optimized geometry)
# Total magnetization   0.0 μB per formula unit
# Polymorph energy (0 for the lowest one)   0.000 eV per atom
# Total energy   -0.2549 Ry per atom
# Calculated density   10.97 Mg/m³
data_Cu2H2Au
_chemical_formula_sum 'Cu4 H4 Au2'
_space_group_name_H-M_alt 'I 4/m m m'
_space_group_IT_number 139
_space_group_name_Hall '-I 4 2'
_cell_length_a 2.9748
_cell_length_b 2.9748
_cell_length_c 11.1541
_cell_angle_alpha 90.00
_cell_angle_beta 90.00
_cell_angle_gamma 90.00
loop_
_atom_site_label
_atom_site_type_symbol
_atom_site_fract_x
_atom_site_fract_y
_atom_site_fract_z
Cu1 Cu 0.0000 0.0000 0.1653
H1 H 0.0000 0.5000 0.2500
Au1 Au 0.0000 0.0000 0.5000

=====

(4)
# CuH3Au (PBE-GGA, optimized geometry)
# Total magnetization   0.0 μB per formula unit
# Polymorph energy (0 for the lowest one)   0.000 eV per atom
# Total energy   -0.2166 Ry per atom
# Calculated density   9.07 Mg/m³
data_CuH3Au
_chemical_formula_sum 'Cu1 H3 Au1'
_space_group_name_H-M_alt 'P m -3 m'
_space_group_IT_number 221
_space_group_name_Hall '-P 4 2 3'
_cell_length_a 3.6405
_cell_length_b 3.6405
_cell_length_c 3.6405
_cell_angle_alpha 90.00
_cell_angle_beta 90.00
_cell_angle_gamma 90.00
loop_
_atom_site_label
_atom_site_type_symbol
_atom_site_fract_x
_atom_site_fract_y
_atom_site_fract_z
Cu1 Cu 0.0000 0.0000 0.0000
H1 H 0.0000 0.5000 0.5000
Au1 Au 0.5000 0.5000 0.5000

=====

(5)
# CuHAu (PBE-GGA, optimized geometry)
# Total magnetization   0.0 μB per formula unit
# Polymorph energy (0 for the lowest one)   0.283 eV per atom
# Total energy   -0.2322 Ry per atom
# Calculated density   10.83 Mg/m³
data_CuHAu
_chemical_formula_sum 'Cu2 H2 Au2'
_space_group_name_H-M_alt 'I 4 m m'
_space_group_IT_number 107
_space_group_name_Hall 'I 4 -2'
_cell_length_a 3.6525
_cell_length_b 3.6525
_cell_length_c 6.0111
_cell_angle_alpha 90.00
_cell_angle_beta 90.00
_cell_angle_gamma 90.00
loop_
_atom_site_label
_atom_site_type_symbol
_atom_site_fract_x
_atom_site_fract_y
_atom_site_fract_z
Cu1 Cu 0.0000 0.0000 0.0000
H1 H 0.0000 0.0000 0.7298
Au1 Au 0.0000 0.0000 0.4429

=====

(6)
# CuHAu (PBE-GGA, optimized geometry)
# Total magnetization   0.0 μB per formula unit
# Polymorph energy (0 for the lowest one)   0.014 eV per atom
# Total energy   -0.2519 Ry per atom
# Calculated density   12.10 Mg/m³
data_CuHAu
_chemical_formula_sum 'Cu1 H1 Au1'
_space_group_name_H-M_alt 'P 3 m 1'
_space_group_IT_number 156
_cell_length_a 2.8050
_cell_length_b 2.8050
_cell_length_c 5.2652
_cell_angle_alpha 90.00
_cell_angle_beta 90.00
_cell_angle_gamma 120.00
loop_
_space_group_symop_operation_xyz
'x,y,z'
'-y,x-y,z'
'-x+y,-x,z'
'-y,-x,z'
'-x+y,y,z'
'x,x-y,z'
loop_
_atom_site_label
_atom_site_type_symbol
_atom_site_fract_x
_atom_site_fract_y
_atom_site_fract_z
Cu1 Cu 0.0000 0.0000 0.0000
H1 H 0.6667 0.3333 0.1040
Au1 Au 0.3333 0.6667 0.5532

=====

(7)
# CuH2Au2 (PBE-GGA, optimized geometry)
# Total magnetization   0.0 μB per formula unit
# Polymorph energy (0 for the lowest one)   0.200 eV per atom
# Total energy   -0.2302 Ry per atom
# Calculated density   13.32 Mg/m³
data_CuH2Au2
_chemical_formula_sum 'Cu2 H4 Au4'
_space_group_name_H-M_alt 'I 4/m m m'
_space_group_IT_number 139
_space_group_name_Hall '-I 4 2'
_cell_length_a 3.3756
_cell_length_b 3.3756
_cell_length_c 10.0518
_cell_angle_alpha 90.00
_cell_angle_beta 90.00
_cell_angle_gamma 90.00
loop_
_atom_site_label
_atom_site_type_symbol
_atom_site_fract_x
_atom_site_fract_y
_atom_site_fract_z
Cu1 Cu 0.0000 0.0000 0.0000
H1 H 0.0000 0.5000 0.2500
Au1 Au 0.0000 0.0000 0.3606

=====

(8)
# Cu4HAu2 (PBE-GGA, optimized geometry)
# Total magnetization   0.0 μB per formula unit
# Total energy   -0.2693 Ry per atom
# Calculated density   11.92 Mg/m³
data_Cu4HAu2
_chemical_formula_sum 'Cu8 H2 Au4'
_space_group_name_H-M_alt 'I 4/m m m'
_space_group_IT_number 139
_space_group_name_Hall '-I 4 2'
_cell_length_a 3.7148
_cell_length_b 3.7148
_cell_length_c 13.1078
_cell_angle_alpha 90.00
_cell_angle_beta 90.00
_cell_angle_gamma 90.00
loop_
_atom_site_label
_atom_site_type_symbol
_atom_site_fract_x
_atom_site_fract_y
_atom_site_fract_z
Cu1 Cu 0.0000 0.0000 0.1401
Cu2 Cu 0.0000 0.5000 0.0000
H1 H 0.0000 0.0000 0.0000
Au1 Au 0.0000 0.0000 0.3367

=====

(9)
# CuH2Au2 (PBE-GGA, optimized geometry)
# Total magnetization   0.0 μB per formula unit
# Polymorph energy (0 for the lowest one)   0.268 eV per atom
# Total energy   -0.2252 Ry per atom
# Calculated density   11.31 Mg/m³
data_CuH2Au2
_chemical_formula_sum 'Cu2 H4 Au4'
_space_group_name_H-M_alt 'P 4/m b m'
_space_group_IT_number 127
_space_group_name_Hall '-P 4 2ab'
_cell_length_a 6.9833
_cell_length_b 6.9833
_cell_length_c 2.7658
_cell_angle_alpha 90.00
_cell_angle_beta 90.00
_cell_angle_gamma 90.00
loop_
_atom_site_label
_atom_site_type_symbol
_atom_site_fract_x
_atom_site_fract_y
_atom_site_fract_z
Cu1 Cu 0.0000 0.0000 0.0000
H1 H 0.2438 0.2562 0.5000
Au1 Au 0.1477 0.6477 0.0000

=====

(10)
# CuH2Au2 (PBE-GGA, optimized geometry)
# Total magnetization   0.0 μB per formula unit
# Polymorph energy (0 for the lowest one)   0.000 eV per atom
# Total energy   -0.2449 Ry per atom
# Calculated density   12.81 Mg/m³
data_CuH2Au2
_chemical_formula_sum 'Cu2 H4 Au4'
_space_group_name_H-M_alt 'P 4/m b m'
_space_group_IT_number 127
_space_group_name_Hall '-P 4 2ab'
_cell_length_a 5.6752
_cell_length_b 5.6752
_cell_length_c 3.6994
_cell_angle_alpha 90.00
_cell_angle_beta 90.00
_cell_angle_gamma 90.00
loop_
_atom_site_label
_atom_site_type_symbol
_atom_site_fract_x
_atom_site_fract_y
_atom_site_fract_z
Cu1 Cu 0.0000 0.0000 0.0000
H1 H 0.1941 0.3059 0.0000
Au1 Au 0.1906 0.3094 0.5000

=====

(11)
# CuH3Au (PBE-GGA, optimized geometry)
# Total magnetization   0.0 μB per formula unit
# Polymorph energy (0 for the lowest one)   0.089 eV per atom
# Total energy   -0.2101 Ry per atom
# Calculated density   10.09 Mg/m³
data_CuH3Au
_chemical_formula_sum 'Cu1 H3 Au1'
_space_group_name_H-M_alt 'P m -3 m'
_space_group_IT_number 221
_space_group_name_Hall '-P 4 2 3'
_cell_length_a 3.5133
_cell_length_b 3.5133
_cell_length_c 3.5133
_cell_angle_alpha 90.00
_cell_angle_beta 90.00
_cell_angle_gamma 90.00
loop_
_atom_site_label
_atom_site_type_symbol
_atom_site_fract_x
_atom_site_fract_y
_atom_site_fract_z
Cu1 Cu 0.0000 0.0000 0.0000
H1 H 0.0000 0.0000 0.5000
Au1 Au 0.5000 0.5000 0.5000

=====

(12)
# Cu3HAu (PBE-GGA, optimized geometry)
# Total magnetization   0.8 μB per formula unit
# Polymorph energy (0 for the lowest one)   1.244 eV per atom
# Total energy   -0.1835 Ry per atom
# Calculated density   5.67 Mg/m³
data_Cu3HAu
_chemical_formula_sum 'Cu3 H1 Au1'
_space_group_name_H-M_alt 'P m -3 m'
_space_group_IT_number 221
_space_group_name_Hall '-P 4 2 3'
_cell_length_a 4.8465
_cell_length_b 4.8465
_cell_length_c 4.8465
_cell_angle_alpha 90.00
_cell_angle_beta 90.00
_cell_angle_gamma 90.00
loop_
_atom_site_label
_atom_site_type_symbol
_atom_site_fract_x
_atom_site_fract_y
_atom_site_fract_z
Cu1 Cu 0.0000 0.0000 0.5000
H1 H 0.5000 0.5000 0.5000
Au1 Au 0.0000 0.0000 0.0000

=====

- calculated density of number 4 (CuH3Au)?
  9.07 Mg/m³

=====

- The lowest calculated density belongs to which entry?
  number 12